# 1
This record from Alexandria via LeMat-Bulk describes a relaxed La3PrSm4 crystal. The functional is PBE.

Unit cell a=3.548 b=9.154 c=9.154 alpha=81.83 beta=78.82 gamma=78.82
Fractional coordinates of all 8 atoms:
Pr1 0.500 0.000 0.000
Sm1 0.634 0.116 0.617
Sm2 0.366 0.884 0.383
Sm3 0.366 0.383 0.884
Sm4 0.634 0.617 0.116
La1 0.759 0.241 0.241
La2 0.241 0.759 0.759
La3 0.000 0.500 0.500

Summary:
Polymorph energy (0 for the lowest one) ... 78 meV per atom
Formation energy ... 0.11 eV/atom

# 2
This record from Alexandria via LeMat-Bulk describes a relaxed La9PrSm2 crystal. The functional is PBE.

Unit cell a=5.237 b=5.237 c=15.716 alpha=90.00 beta=90.00 gamma=90.00
Fractional coordinates of all 12 atoms:
La1 0.500 0.500 0.000
La2 0.500 0.500 0.334
La3 0.500 0.500 0.666
La4 0.500 0.000 0.168
La5 0.500 0.000 0.500
La6 0.500 0.000 0.832
La7 0.000 0.500 0.168
La8 0.000 0.500 0.500
La9 0.000 0.500 0.832
Pr1 0.000 0.000 0.000
Sm1 0.000 0.000 0.334
Sm2 0.000 0.000 0.666

Summary:
Formation energy ... 0.00 eV/atom

# 3
This record from Alexandria via LeMat-Bulk describes a relaxed La15Pr4Sm crystal. The functional is PBE.

Unit cell a=5.250 b=5.250 c=26.391 alpha=90.00 beta=90.00 gamma=90.00
Fractional coordinates of all 20 atoms:
La1 0.500 0.500 0.000
La2 0.500 0.500 0.199
La3 0.500 0.500 0.400
La4 0.500 0.500 0.600
La5 0.500 0.500 0.801
La6 0.500 0.000 0.099
La7 0.500 0.000 0.300
La8 0.500 0.000 0.500
La9 0.500 0.000 0.700
La10 0.500 0.000 0.901
La11 0.000 0.500 0.099
La12 0.000 0.500 0.300
La13 0.000 0.500 0.500
La14 0.000 0.500 0.700
La15 0.000 0.500 0.901
Pr1 0.000 0.000 0.199
Pr2 0.000 0.000 0.400
Pr3 0.000 0.000 0.600
Pr4 0.000 0.000 0.801
Sm1 0.000 0.000 0.000

Summary:
Formation energy ... 0.01 eV/atom

# 4
This record from Alexandria via LeMat-Bulk describes a relaxed La4Pr7Sm crystal. The functional is PBE.

Unit cell a=7.429 b=6.442 c=11.194 alpha=72.97 beta=59.91 gamma=89.95
Fractional coordinates of all 12 atoms:
La1 0.502 0.668 0.332
La2 0.498 0.332 0.668
La3 0.749 0.833 0.667
La4 0.251 0.167 0.333
Pr1 0.751 0.499 0.000
Pr2 0.249 0.501 0.000
Pr3 0.000 0.333 0.668
Pr4 0.000 0.667 0.332
Pr5 0.249 0.834 0.668
Pr6 0.500 0.000 0.000
Pr7 0.751 0.166 0.332
Sm1 0.000 0.000 0.000

Summary:
Polymorph energy (0 for the lowest one) ... 0 meV per atom
Formation energy ... 0.01 eV/atom

# 5
This record from Alexandria via LeMat-Bulk describes a relaxed La2PrSm crystal. The functional is PBE.

Unit cell a=3.723 b=3.723 c=12.230 alpha=81.24 beta=81.24 gamma=60.00
Fractional coordinates of all 4 atoms:
La1 0.084 0.084 0.747
La2 0.248 0.248 0.255
Pr1 0.668 0.668 0.996
Sm1 0.500 0.500 0.501

Summary:
Polymorph energy (0 for the lowest one) ... 5 meV per atom
Formation energy ... 0.02 eV/atom

# 6
This record from Alexandria via LeMat-Bulk describes a relaxed La4Pr8Sm crystal. The functional is PBE.

Unit cell a=11.991 b=11.991 c=7.977 alpha=90.00 beta=138.73 gamma=120.00
Fractional coordinates of all 13 atoms:
La1 0.000 0.000 0.000
La2 0.000 0.500 0.000
La3 0.500 0.500 0.000
La4 0.500 0.000 0.000
Pr1 0.518 0.759 0.277
Pr2 0.482 0.241 0.723
Pr3 0.328 0.164 0.997
Pr4 0.167 0.331 0.003
Pr5 0.672 0.836 0.003
Pr6 0.167 0.836 0.003
Pr7 0.833 0.164 0.997
Pr8 0.833 0.669 0.997
Sm1 0.000 0.500 0.500

Summary:
Formation energy ... 0.35 eV/atom

# 7
This record from Alexandria via LeMat-Bulk describes a relaxed LaPr5Sm4 crystal. The functional is PBE.

Unit cell a=3.539 b=7.016 c=14.600 alpha=97.30 beta=96.96 gamma=90.00
Fractional coordinates of all 10 atoms:
La1 0.500 0.000 0.000
Pr1 0.200 0.599 0.401
Pr2 0.205 0.103 0.410
Pr3 0.795 0.897 0.590
Pr4 0.500 0.500 0.000
Pr5 0.800 0.401 0.599
Sm1 0.608 0.808 0.216
Sm2 0.906 0.696 0.812
Sm3 0.392 0.192 0.784
Sm4 0.094 0.304 0.188

Summary:
Polymorph energy (0 for the lowest one) ... 0 meV per atom
Formation energy ... 0.14 eV/atom

# 8
This record from Alexandria via LeMat-Bulk describes a relaxed La6Pr12Sm crystal. The functional is PBE.

Unit cell a=8.869 b=8.869 c=8.869 alpha=89.62 beta=89.62 gamma=89.62
Fractional coordinates of all 19 atoms:
La1 0.735 0.905 0.301
La2 0.699 0.265 0.095
La3 0.095 0.699 0.265
La4 0.265 0.095 0.699
La5 0.301 0.735 0.905
La6 0.905 0.301 0.735
Pr1 0.781 0.533 0.436
Pr2 0.436 0.781 0.533
Pr3 0.533 0.436 0.781
Pr4 0.219 0.467 0.564
Pr5 0.564 0.219 0.467
Pr6 0.467 0.564 0.219
Pr7 0.020 0.186 0.362
Pr8 0.814 0.638 0.980
Pr9 0.638 0.980 0.814
Pr10 0.980 0.814 0.638
Pr11 0.186 0.362 0.020
Pr12 0.362 0.020 0.186
Sm1 0.000 0.000 0.000

Summary:
Polymorph energy (0 for the lowest one) ... 0 meV per atom
Formation energy ... 0.11 eV/atom

# 9
This record from Alexandria via LeMat-Bulk describes a relaxed LaPr8Sm5 crystal. The functional is PBE.

Unit cell a=8.706 b=8.706 c=8.706 alpha=111.68 beta=105.14 gamma=111.68
Fractional coordinates of all 14 atoms:
La1 0.250 0.500 0.750
Pr1 0.172 0.736 0.071
Pr2 0.929 0.102 0.665
Pr3 0.719 0.251 0.323
Pr4 0.677 0.396 0.929
Pr5 0.532 0.604 0.281
Pr6 0.564 0.898 0.828
Pr7 0.335 0.264 0.436
Pr8 0.071 0.749 0.468
Sm1 0.037 0.315 0.135
Sm2 0.865 0.902 0.180
Sm3 0.820 0.685 0.722
Sm4 0.500 0.000 0.500
Sm5 0.278 0.098 0.963

Summary:
Formation energy ... 0.21 eV/atom

# 10
This record from Alexandria via LeMat-Bulk describes a relaxed La5Pr3Sm2 crystal. The functional is PBE.

Unit cell a=10.348 b=10.361 c=11.479 alpha=129.67 beta=129.64 gamma=65.48
Fractional coordinates of all 20 atoms:
La1 0.272 0.522 0.044
La2 0.728 0.478 0.956
La3 0.026 0.776 0.551
La4 0.520 0.270 0.539
La5 0.974 0.224 0.449
La6 0.480 0.730 0.461
La7 0.880 0.631 0.753
La8 0.120 0.369 0.247
La9 0.373 0.121 0.753
La10 0.627 0.879 0.247
Pr1 0.232 0.982 0.965
Pr2 0.768 0.018 0.035
Pr3 0.720 0.474 0.250
Pr4 0.280 0.526 0.750
Pr5 0.030 0.777 0.250
Pr6 0.970 0.223 0.750
Sm1 0.779 0.032 0.751
Sm2 0.221 0.968 0.249
Sm3 0.472 0.719 0.751
Sm4 0.528 0.281 0.249

Summary:
Formation energy ... 0.14 eV/atom

# 11
This record from Alexandria via LeMat-Bulk describes a relaxed LaPr15Sm4 crystal. The functional is PBE.

Unit cell a=5.243 b=5.243 c=26.133 alpha=90.00 beta=90.00 gamma=90.00
Fractional coordinates of all 20 atoms:
La1 0.000 0.000 0.000
Pr1 0.500 0.500 0.000
Pr2 0.500 0.500 0.201
Pr3 0.500 0.500 0.400
Pr4 0.500 0.500 0.600
Pr5 0.500 0.500 0.799
Pr6 0.500 0.000 0.101
Pr7 0.500 0.000 0.301
Pr8 0.500 0.000 0.500
Pr9 0.500 0.000 0.699
Pr10 0.500 0.000 0.899
Pr11 0.000 0.500 0.101
Pr12 0.000 0.500 0.301
Pr13 0.000 0.500 0.500
Pr14 0.000 0.500 0.699
Pr15 0.000 0.500 0.899
Sm1 0.000 0.000 0.201
Sm2 0.000 0.000 0.400
Sm3 0.000 0.000 0.600
Sm4 0.000 0.000 0.799

Summary:
Formation energy ... 0.01 eV/atom

# 12
This record from Alexandria via LeMat-Bulk describes a relaxed LaPr7Sm4 crystal. The functional is PBE.

Unit cell a=6.170 b=11.923 c=6.884 alpha=82.96 beta=63.38 gamma=75.00
Fractional coordinates of all 12 atoms:
La1 0.000 0.000 0.000
Pr1 0.791 0.920 0.499
Pr2 0.209 0.080 0.501
Pr3 0.059 0.669 0.213
Pr4 0.941 0.331 0.787
Pr5 0.369 0.502 0.759
Pr6 0.500 0.000 0.000
Pr7 0.631 0.498 0.241
Sm1 0.635 0.224 0.505
Sm2 0.365 0.776 0.495
Sm3 0.749 0.683 0.819
Sm4 0.251 0.317 0.181

Summary:
Formation energy ... 0.22 eV/atom

# 13
This record from Alexandria via LeMat-Bulk describes a relaxed La4Pr3Sm8 crystal. The functional is PBE.

Unit cell a=6.953 b=9.512 c=9.512 alpha=87.21 beta=111.42 gamma=111.42
Fractional coordinates of all 15 atoms:
La1 0.500 0.000 0.000
La2 0.000 0.500 0.000
La3 0.000 0.000 0.000
La4 0.000 0.000 0.500
Pr1 0.500 0.500 0.000
Pr2 0.500 0.000 0.500
Pr3 0.500 0.500 0.500
Sm1 0.527 0.267 0.267
Sm2 0.000 0.641 0.359
Sm3 0.001 0.269 0.269
Sm4 0.500 0.743 0.257
Sm5 0.500 0.257 0.743
Sm6 0.999 0.731 0.731
Sm7 0.000 0.359 0.641
Sm8 0.473 0.733 0.733

Summary:
Formation energy ... 0.32 eV/atom

# 14
This record from Alexandria via LeMat-Bulk describes a relaxed La2Pr8Sm crystal. The functional is PBE.

Unit cell a=5.259 b=8.305 c=9.816 alpha=104.68 beta=105.54 gamma=90.00
Fractional coordinates of all 11 atoms:
La1 0.227 0.636 0.454
La2 0.773 0.364 0.546
Pr1 0.590 0.453 0.181
Pr2 0.319 0.092 0.638
Pr3 0.136 0.179 0.271
Pr4 0.045 0.728 0.089
Pr5 0.864 0.821 0.729
Pr6 0.681 0.908 0.362
Pr7 0.410 0.547 0.819
Pr8 0.955 0.272 0.911
Sm1 0.500 0.000 0.000

Summary:
Polymorph energy (0 for the lowest one) ... 0 meV per atom
Formation energy ... 0.01 eV/atom

# 15
This record from Alexandria via LeMat-Bulk describes a relaxed LaPr4Sm3 crystal. The functional is PBE.

Unit cell a=7.372 b=7.367 c=10.442 alpha=90.00 beta=90.00 gamma=90.00
Fractional coordinates of all 16 atoms:
Pr1 0.000 0.811 0.000
Pr2 0.500 0.310 0.000
Pr3 0.752 0.061 0.750
Pr4 0.248 0.561 0.750
Pr5 0.500 0.810 0.500
Pr6 0.000 0.311 0.500
Pr7 0.248 0.561 0.250
Pr8 0.752 0.061 0.250
Sm1 0.000 0.311 0.000
Sm2 0.248 0.061 0.750
Sm3 0.752 0.561 0.750
Sm4 0.000 0.811 0.500
Sm5 0.752 0.561 0.250
Sm6 0.248 0.061 0.250
La1 0.500 0.811 0.000
La2 0.500 0.311 0.500

Summary:
Polymorph energy (0 for the lowest one) ... 0 meV per atom
Formation energy ... 0.01 eV/atom

# 16
This record from Alexandria via LeMat-Bulk describes a relaxed La4PrSm10 crystal. The functional is PBE.

Unit cell a=8.085 b=9.121 c=9.121 alpha=78.67 beta=63.69 gamma=63.69
Fractional coordinates of all 15 atoms:
La1 0.227 0.000 0.546
La2 0.773 0.454 0.000
La3 0.227 0.546 0.000
La4 0.773 0.000 0.454
Pr1 0.000 0.000 0.000
Sm1 0.250 0.500 0.500
Sm2 0.707 0.209 0.791
Sm3 0.084 0.209 0.209
Sm4 0.502 0.791 0.791
Sm5 0.707 0.791 0.209
Sm6 0.293 0.791 0.209
Sm7 0.750 0.500 0.500
Sm8 0.293 0.209 0.791
Sm9 0.498 0.209 0.209
Sm10 0.916 0.791 0.791

Summary:
Formation energy ... 0.24 eV/atom

# 17
This record from Alexandria via LeMat-Bulk describes a relaxed La2Pr5Sm crystal. The functional is PBE.

Unit cell a=5.263 b=7.407 c=14.821 alpha=90.00 beta=90.00 gamma=90.00
Fractional coordinates of all 16 atoms:
La1 0.500 0.250 0.624
La2 0.500 0.750 0.376
La3 0.500 0.250 0.124
La4 0.500 0.750 0.876
Pr1 0.000 0.000 0.000
Pr2 0.000 0.500 0.500
Pr3 0.000 0.500 0.751
Pr4 0.000 0.500 0.249
Pr5 0.000 0.000 0.251
Pr6 0.000 0.000 0.749
Pr7 0.500 0.251 0.876
Pr8 0.500 0.749 0.124
Pr9 0.500 0.249 0.376
Pr10 0.500 0.751 0.624
Sm1 0.000 0.000 0.500
Sm2 0.000 0.500 0.000

Summary:
Formation energy ... 0.01 eV/atom

# 18
This record from Alexandria via LeMat-Bulk describes a relaxed La6Pr8Sm crystal. The functional is PBE.

Unit cell a=9.600 b=9.600 c=8.843 alpha=57.13 beta=57.13 gamma=60.00
Fractional coordinates of all 15 atoms:
La1 0.442 0.893 0.928
La2 0.107 0.263 0.072
La3 0.263 0.558 0.072
La4 0.737 0.442 0.928
La5 0.893 0.737 0.928
La6 0.558 0.107 0.072
Pr1 0.337 0.233 0.516
Pr2 0.767 0.085 0.484
Pr3 0.085 0.663 0.484
Pr4 0.572 0.572 0.283
Pr5 0.428 0.428 0.717
Pr6 0.915 0.337 0.516
Pr7 0.233 0.915 0.516
Pr8 0.663 0.767 0.484
Sm1 0.000 0.000 0.000

Summary:
Polymorph energy (0 for the lowest one) ... 123 meV per atom
Formation energy ... 0.13 eV/atom

# 19
This record from Alexandria via LeMat-Bulk describes a relaxed La2Pr4Sm3 crystal. The functional is PBE.

Unit cell a=8.956 b=8.804 c=8.863 alpha=90.00 beta=90.00 gamma=111.82
Fractional coordinates of all 18 atoms:
La1 0.550 0.174 0.349
La2 0.950 0.826 0.849
La3 0.450 0.826 0.651
La4 0.050 0.174 0.151
Pr1 0.863 0.081 0.534
Pr2 0.637 0.919 0.034
Pr3 0.137 0.919 0.466
Pr4 0.363 0.081 0.966
Pr5 0.852 0.476 0.138
Pr6 0.648 0.524 0.638
Pr7 0.148 0.524 0.862
Pr8 0.352 0.476 0.362
Sm1 0.000 0.500 0.500
Sm2 0.500 0.500 0.000
Sm3 0.750 0.247 0.821
Sm4 0.750 0.753 0.321
Sm5 0.250 0.753 0.179
Sm6 0.250 0.247 0.679

Summary:
Polymorph energy (0 for the lowest one) ... 84 meV per atom
Formation energy ... 0.14 eV/atom